This record from the Alexandria database describes a relaxed Ba2TmMg3Sn4 crystal. The functional is PBE.

The crystal system is tetragonal. The value obtained for the calculated total energy is -3.43 eV/atom.

Cell and atoms, written as CIF:
```
data_Ba2TmMg3Sn4
_chemical_formula_sum 'Ba2 Tm1 Mg3 Sn4'
_space_group_name_H-M_alt 'P -4 m 2'
_space_group_IT_number 115
_space_group_name_Hall 'P -4 -2'
_cell_length_a 5.0436
_cell_length_b 5.0436
_cell_length_c 12.1641
_cell_angle_alpha 90.00
_cell_angle_beta 90.00
_cell_angle_gamma 90.00
loop_
_atom_site_label
_atom_site_type_symbol
_atom_site_fract_x
_atom_site_fract_y
_atom_site_fract_z
Ba1 Ba 0.0000 0.5000 0.2314
Tm1 Tm 0.0000 0.0000 0.5000
Mg1 Mg 0.0000 0.5000 0.8750
Mg2 Mg 0.5000 0.5000 0.5000
Sn1 Sn 0.0000 0.0000 0.0000
Sn2 Sn 0.0000 0.5000 0.6390
Sn3 Sn 0.5000 0.5000 0.0000
```